# 1
# CsDyRe GGA-PBE optimized geometry
# Electronic total energy, eV per atom: -3.617
data_CsDyRe
_space_group_name_H-M_alt 'F -4 3 m'
_space_group_IT_number 216
_space_group_name_Hall 'F -4 2 3'
_cell_length_a 7.002
_cell_length_b 7.002
_cell_length_c 7.002
_cell_angle_alpha 90.00
_cell_angle_beta 90.00
_cell_angle_gamma 90.00
loop_
_atom_site_label
_atom_site_fract_x
_atom_site_fract_y
_atom_site_fract_z
_atom_site_occupancy
Cs1 0.000 0.000 0.000 1
Dy1 0.250 0.250 0.750 1
Re1 0.250 0.250 0.250 1



# 2
# CsDyS3 GGA-PBE optimized geometry
# Electronic total energy, eV per atom: -4.874
data_CsDyS3
_space_group_name_H-M_alt 'P -1'
_space_group_IT_number 2
_cell_length_a 7.278
_cell_length_b 7.473
_cell_length_c 7.489
_cell_angle_alpha 73.11
_cell_angle_beta 76.03
_cell_angle_gamma 73.57
loop_
_space_group_symop_operation_xyz
'x,y,z'
'-x,-y,-z'
loop_
_atom_site_label
_atom_site_fract_x
_atom_site_fract_y
_atom_site_fract_z
_atom_site_occupancy
Cs1 0.124 0.143 0.170 1
Dy1 0.262 0.479 0.467 1
S1 0.013 0.306 0.719 1
S2 0.370 0.767 0.533 1
S3 0.464 0.650 0.801 1



# 3
# Cs2Dy2SeS3 GGA-PBE optimized geometry
# Electronic total energy, eV per atom: -5.152
data_Cs2Dy2SeS3
_space_group_name_H-M_alt 'P 3 m 1'
_space_group_IT_number 156
_cell_length_a 4.1337
_cell_length_b 4.1337
_cell_length_c 16.2404
_cell_angle_alpha 90.00
_cell_angle_beta 90.00
_cell_angle_gamma 120.00
loop_
_space_group_symop_operation_xyz
'x,y,z'
'-y,x-y,z'
'-x+y,-x,z'
'-y,-x,z'
'-x+y,y,z'
'x,x-y,z'
loop_
_atom_site_label
_atom_site_fract_x
_atom_site_fract_y
_atom_site_fract_z
_atom_site_occupancy
Cs1 0.0000 0.0000 0.0000 1
Cs2 0.3333 0.6667 0.5077 1
Dy1 0.6667 0.3333 0.2464 1
Dy2 0.6667 0.3333 0.7537 1
Se1 0.0000 0.0000 0.3459 1
S1 0.0000 0.0000 0.6645 1
S2 0.3333 0.6667 0.1579 1
S3 0.3333 0.6667 0.8430 1



# 4
# CsDySeS GGA-PBE optimized geometry
# Electronic total energy, eV per atom: -5.044
data_CsDySeS
_space_group_name_H-M_alt 'P -6 m 2'
_space_group_IT_number 187
_space_group_name_Hall 'P -6 2'
_cell_length_a 4.1755
_cell_length_b 4.1755
_cell_length_c 16.4116
_cell_angle_alpha 90.00
_cell_angle_beta 90.00
_cell_angle_gamma 120.00
loop_
_atom_site_label
_atom_site_fract_x
_atom_site_fract_y
_atom_site_fract_z
_atom_site_occupancy
Cs1 0.0000 0.0000 0.0000 1
Cs2 0.3333 0.6667 0.5000 1
Dy1 0.6667 0.3333 0.2421 1
Se1 0.0000 0.0000 0.3393 1
S1 0.3333 0.6667 0.1553 1